{
  "formula": "Ga2TcN",
  "functional": "GGA-PBE",
  "state": "optimized geometry",
  "cell": [[6.345, 0.000, 0.000], [0.000, 6.345, 0.000], [0.000, 0.000, 5.219]],
  "species": ["Ga", "Ga", "Ga", "Ga", "Ga", "Ga", "Ga", "Ga", "Tc", "Tc", "Tc", "Tc", "N", "N", "N", "N"],
  "fractional_positions": [[0.178, 0.250, 0.125], [0.250, 0.678, 0.375], [0.250, 0.822, 0.875], [0.322, 0.250, 0.625], [0.678, 0.750, 0.625], [0.750, 0.178, 0.875], [0.750, 0.322, 0.375], [0.822, 0.750, 0.125], [0.000, 0.000, 0.500], [0.000, 0.500, 0.750], [0.500, 0.000, 0.250], [0.500, 0.500, 0.000], [0.000, 0.000, 0.000], [0.000, 0.500, 0.250], [0.500, 0.000, 0.750], [0.500, 0.500, 0.500]],
  "raw_formation_energy_ev_per_atom": 0.431,
  "density_g_cm3": 7.9
}